Y2AsBr after structural relaxation, computed with GGA-PBEsol.

Output
**Calculated density**: 4727 kg/m³
**Formation energy (no corrections)**: -0.61 eV per atom
**Space-group type**: R3m (160)

Cell: 3.7337 3.7337 9.9160 Å, 79.15 79.15 60.00°
Each line ends with the local moment (μB).
Sites, in units of the cell vectors:
Y 0.0093 0.0093 0.9722  0.37
Y 0.2386 0.2386 0.2843  0.10
As 0.5115 0.5115 0.4656  0.02
Br 0.7407 0.7407 0.7779  0.00



Al2WCl after structural relaxation, computed with GGA-PBEsol.

Output
**Calculated density**: 6613 kg/m³
**Formation energy (no corrections)**: 0.34 eV per atom
**Space-group type**: Pmm2 (25)

Cell: 2.7942 4.5931 5.3462 Å, 90.00 90.00 90.00°
Sites, in units of the cell vectors:
Al 0.0000 0.0000 0.9614
Al 0.5000 0.5000 0.3108
W 0.5000 0.5000 0.8248
Cl 0.0000 0.0000 0.4031



Li2RePt after structural relaxation, computed with GGA-PBEsol.

Output
**Calculated density**: 11341 kg/m³
**Space-group type**: P4mm (99)
**DFT formation energy**: -0.1 eV/f.u.

Cell: 2.7074 2.7074 7.8938 Å, 90.00 90.00 90.00°
Sites, in units of the cell vectors:
Li 0.0000 0.0000 0.9885
Li 0.5000 0.5000 0.2732
Pt 0.0000 0.0000 0.4986
Re 0.5000 0.5000 0.7396



InSi3As after structural relaxation, computed with GGA-PBEsol.

Output
**Calculated density**: 3673 kg/m³
**Formation energy (no corrections)**: 1.37 eV per atom
**Space-group type**: Pm-3m (221)

Cell: 4.9850 4.9850 4.9850 Å, 90.00 90.00 90.00°
Sites, in units of the cell vectors:
As 0.5000 0.5000 0.5000
Si 0.0000 0.5000 0.0000
Si 0.0000 0.0000 0.5000
Si 0.5000 0.0000 0.0000
In 0.0000 0.0000 0.0000



Number 1: Fermi-level density of states 3.7 states/eV per cell, total magnetization 0.84 μB/cell, electronic total energy -23.05 eV for the cell shown. Number 2: Fermi-level density of states 3.0 states/eV per cell, total magnetization 0.00 μB/cell, electronic total energy -22.66 eV for the cell shown. Number 3: Fermi-level density of states 2.0 states/eV per cell, total magnetization 0.00 μB/cell, electronic total energy -24.29 eV for the cell shown. Number 4: Fermi-level density of states 2.1 states/eV per cell, total magnetization 0.00 μB/cell, electronic total energy -18.48 eV for the cell shown.